First-principles (PBE-GGA) data for a relaxed structure of BeZn2InAu5, as listed in Alexandria via LeMat-Bulk.

Cell: 4.535 5.543 7.759 Å, 110.93 106.99 90.00°
Atoms (fractional coordinates):
Au 0.000 0.000 0.000
Au 0.639 0.392 0.278
Au 0.639 0.885 0.278
Au 0.361 0.608 0.722
Au 0.361 0.115 0.722
Zn 0.804 0.804 0.607
Zn 0.196 0.196 0.393
In 0.000 0.500 0.000
Be 0.500 0.000 0.000

Output
* E_form: -0.68 eV per formula unit
* VASP energy: -2.897 eV/atom